1.
First-principles (PBE-GGA) data for an optimized crystal structure of ReHg2Br, as listed in Alexandria.

Unit cell a=3.3732 b=2.8879 c=9.0768 alpha=90.08 beta=90.00 gamma=90.00
Last column: nearest neighbours and their distance in Å.
Sites, in units of the cell vectors:
Re 0.5000 0.2500 0.2500  2 Re 2.89, 8 Hg 2.90
Hg 0.0000 0.7491 0.0448  2 Hg 2.89, 4 Re 2.90, 2 Br 3.16
Hg 0.0000 0.7509 0.4552  2 Hg 2.89, 4 Re 2.90, 2 Br 3.16
Br 0.5000 0.7500 0.7500  2 Br 2.89, 4 Hg 3.16

Results
As for the electronic total energy: -11.7 eV per cell. As for the density of states at the Fermi level: 0.909 states/eV per atom. The value obtained for the energy relative to the lowest polymorph listed for this composition is 0.204 eV per atom. Its symmetry is P2/m.

2.
First-principles (PBE-GGA) data for an optimized crystal structure of Re2HgBr, as listed in Alexandria.

Unit cell a=5.2120 b=5.2120 c=5.2120 alpha=134.15 beta=134.15 gamma=66.85
Last column: nearest neighbours and their distance in Å.
Sites, in units of the cell vectors:
Re 0.0000 0.0000 0.0000  4 Re 2.87, 4 Br 2.98, 4 Hg 2.98
Re 0.5000 0.5000 0.0000  4 Re 2.87, 4 Hg 2.98, 4 Br 2.98
Hg 0.7500 0.2500 0.5000  4 Br 2.87, 8 Re 2.98
Br 0.2500 0.7500 0.5000  4 Hg 2.87, 8 Re 2.98

Results
As for the electronic total energy: -19.9 eV per cell. As for the density of states at the Fermi level: 1.291 states/eV per atom. The value obtained for the energy relative to the lowest polymorph listed for this composition is 1.021 eV per atom. Its symmetry is I4/mmm.

3.
First-principles (PBE-GGA) data for an optimized crystal structure of Re2HgBr2, as listed in Alexandria.

Unit cell a=9.8816 b=9.8816 c=2.8759 alpha=90.00 beta=90.00 gamma=90.00
Last column: nearest neighbours and their distance in Å.
Sites, in units of the cell vectors:
Re 0.4173 0.9173 0.0000  1 Re 2.31, 2 Br 2.57
Re 0.9173 0.5827 0.0000  1 Re 2.31, 2 Br 2.57
Re 0.5827 0.0827 0.0000  1 Re 2.31, 2 Br 2.57
Re 0.0827 0.4173 0.0000  1 Re 2.31, 2 Br 2.57
Hg 0.0000 0.0000 0.0000  2 Hg 2.88
Hg 0.5000 0.5000 0.0000  2 Hg 2.88
Br 0.2653 0.7653 0.5000  2 Re 2.57
Br 0.7653 0.7347 0.5000  2 Re 2.57
Br 0.7347 0.2347 0.5000  2 Re 2.57
Br 0.2347 0.2653 0.5000  2 Re 2.57

Results
As for the electronic total energy: -46.0 eV per cell. As for the density of states at the Fermi level: 0.723 states/eV per atom. The value obtained for the energy relative to the lowest polymorph listed for this composition is 0.000 eV per atom. Its symmetry is P4/mbm.

Among the records above, which one has the lowest energy relative to the lowest polymorph listed for this composition?
Re2HgBr2